LiThTlCd | PBE | relaxed

Values from the calculation:
The total energy comes out at -13.1 eV per formula unit. As for the formation energy: -0.121 eV/atom.

Structure (extended XYZ):
```
4
Lattice="0.000 3.716 3.716 3.716 0.000 3.716 3.716 3.716 0.000" Properties=species:S:1:pos:R:3 pbc="T T T"
Li 0.000 0.000 0.000
Th 3.716 3.716 3.716
Tl 1.858 1.858 1.858
Cd 5.574 5.574 5.574
```



Li2TiCd2 | PBE | relaxed

Values from the calculation:
The total energy comes out at -13.2 eV per formula unit. As for the formation energy: 0.078 eV/atom. The value obtained for the energy above the most stable polymorph in this dataset is 0.39 eV/f.u.

Structure (extended XYZ):
```
10
Lattice="7.830 0.000 0.000 0.000 7.830 0.000 0.000 0.000 3.046" Properties=species:S:1:pos:R:3 pbc="T T T"
Li 1.248 2.667 0.000
Li 2.667 6.582 0.000
Li 5.162 1.248 0.000
Li 6.582 5.162 0.000
Ti 0.000 0.000 1.523
Ti 3.915 3.915 1.523
Cd 1.104 5.019 1.523
Cd 2.810 1.104 1.523
Cd 5.019 6.725 1.523
Cd 6.725 2.810 1.523
```



Li2TiCd | PBE | relaxed

Values from the calculation:
The total energy comes out at -12.0 eV per formula unit. As for the formation energy: 0.169 eV/atom.

Structure (extended XYZ):
```
4
Lattice="1.424 0.822 10.555 -1.424 0.822 10.555 0.000 -1.645 10.555" Properties=species:S:1:pos:R:3 pbc="T T T"
Li 0.000 0.000 2.717
Li 0.000 0.000 28.947
Ti 0.000 0.000 0.000
Cd 0.000 0.000 15.832
```



LiTiCd | PBE | relaxed

Values from the calculation:
The total energy comes out at -10.2 eV per formula unit. As for the formation energy: 0.171 eV/atom. The value obtained for the energy above the most stable polymorph in this dataset is 0.79 eV/f.u.

Structure (extended XYZ):
```
6
Lattice="2.054 -2.075 0.000 2.054 2.075 0.000 -0.003 0.000 13.399" Properties=species:S:1:pos:R:3 pbc="T T T"
Li 1.024 0.000 1.066
Li 3.082 0.000 12.333
Ti 1.029 0.000 10.125
Ti 3.078 0.000 3.274
Cd 1.023 0.000 5.480
Cd 3.083 0.000 7.919
```



LiTiCd2 | PBE | relaxed

Values from the calculation:
The total energy comes out at -11.9 eV per formula unit. As for the formation energy: -0.059 eV/atom. The value obtained for the energy above the most stable polymorph in this dataset is 0.13 eV/f.u.

Structure (extended XYZ):
```
4
Lattice="4.840 0.000 0.000 0.000 4.840 0.000 0.000 0.000 3.214" Properties=species:S:1:pos:R:3 pbc="T T T"
Li 0.000 0.000 0.000
Ti 2.420 2.420 0.000
Cd 0.000 2.420 1.607
Cd 2.420 0.000 1.607
```



LiTiCd | PBE | relaxed

Values from the calculation:
The total energy comes out at -11.0 eV per formula unit. As for the formation energy: -0.093 eV/atom. The value obtained for the energy above the most stable polymorph in this dataset is 0.00 eV/f.u.

Structure (extended XYZ):
```
6
Lattice="3.095 0.000 0.000 0.000 3.154 0.000 -0.036 0.000 11.077" Properties=species:S:1:pos:R:3 pbc="T T T"
Li 0.764 0.789 0.914
Li 2.295 2.366 10.163
Ti 0.754 0.789 4.675
Ti 2.305 2.366 6.402
Cd 0.755 0.789 8.441
Cd 2.304 2.366 2.636
```



LiTiCd2 | PBE | relaxed

Values from the calculation:
The total energy comes out at -11.7 eV per formula unit. As for the formation energy: -0.013 eV/atom. The value obtained for the energy above the most stable polymorph in this dataset is 0.31 eV/f.u.

Structure (extended XYZ):
```
4
Lattice="0.000 3.330 3.330 3.330 0.000 3.330 3.330 3.330 0.000" Properties=species:S:1:pos:R:3 pbc="T T T"
Li 0.000 0.000 0.000
Ti 3.330 3.330 3.330
Cd 1.665 1.665 1.665
Cd 4.996 4.996 4.996
```



Li2TiCd8 | PBE | relaxed

Values from the calculation:
The total energy comes out at -19.7 eV per formula unit. As for the formation energy: -0.063 eV/atom.

Structure (extended XYZ):
```
11
Lattice="3.125 0.000 0.000 1.556 6.469 0.000 1.513 0.363 11.175" Properties=species:S:1:pos:R:3 pbc="T T T"
Li 1.539 3.106 3.974
Li 4.655 3.727 7.202
Ti 0.000 0.000 0.000
Cd 3.087 6.282 8.017
Cd 1.556 2.250 1.130
Cd 3.099 5.220 5.219
Cd 3.084 2.113 9.272
Cd 3.110 4.720 1.903
Cd 3.095 1.613 5.957
Cd 4.638 4.583 10.045
Cd 3.107 0.550 3.158
```



Li2TiCd2 | PBE | relaxed

Values from the calculation:
The total energy comes out at -13.5 eV per formula unit. As for the formation energy: 0.001 eV/atom. The value obtained for the energy above the most stable polymorph in this dataset is 0.00 eV/f.u.

Structure (extended XYZ):
```
10
Lattice="7.683 0.000 0.000 0.000 7.683 0.000 0.000 0.000 2.976" Properties=species:S:1:pos:R:3 pbc="T T T"
Li 0.917 2.924 0.000
Li 2.924 6.766 0.000
Li 4.759 0.917 0.000
Li 6.766 4.759 0.000
Ti 0.000 0.000 0.000
Ti 3.841 3.841 0.000
Cd 1.396 5.238 1.488
Cd 2.445 1.396 1.488
Cd 5.238 6.286 1.488
Cd 6.286 2.445 1.488
```



LiTi3Cd | PBE | relaxed

Values from the calculation:
The total energy comes out at -22.7 eV per formula unit. As for the formation energy: 0.760 eV/atom. The value obtained for the energy above the most stable polymorph in this dataset is 0.00 eV/f.u.

Structure (extended XYZ):
```
5
Lattice="4.482 0.000 0.000 0.000 4.482 0.000 0.000 0.000 4.482" Properties=species:S:1:pos:R:3 pbc="T T T"
Li 0.000 0.000 0.000
Ti 0.000 0.000 2.241
Ti 0.000 2.241 0.000
Ti 2.241 0.000 0.000
Cd 2.241 2.241 2.241
```



LiTiCd2 | PBE | relaxed

Values from the calculation:
The total energy comes out at -10.4 eV per formula unit. As for the formation energy: 0.301 eV/atom. The value obtained for the energy above the most stable polymorph in this dataset is 1.57 eV/f.u.

Structure (extended XYZ):
```
8
Lattice="-3.732 3.732 2.933 3.732 -3.732 2.933 3.732 3.732 -2.933" Properties=species:S:1:pos:R:3 pbc="T T T"
Li 0.000 0.000 0.000
Li 0.000 3.732 1.467
Ti 3.732 0.000 1.467
Ti 0.000 0.000 2.933
Cd 5.598 1.672 -0.733
Cd 1.672 1.866 0.733
Cd -1.866 2.060 2.200
Cd 2.060 1.866 3.667
```



LiTiCd2 | PBE | relaxed

Values from the calculation:
The total energy comes out at -11.6 eV per formula unit. As for the formation energy: 0.005 eV/atom. The value obtained for the energy above the most stable polymorph in this dataset is 0.39 eV/f.u.

Structure (extended XYZ):
```
4
Lattice="1.502 0.867 9.870 -1.502 0.867 9.870 0.000 -1.734 9.870" Properties=species:S:1:pos:R:3 pbc="T T T"
Li 0.000 0.000 0.000
Ti 0.000 0.000 24.655
Cd 0.000 0.000 12.286
Cd 0.000 0.000 17.285
```



LiTi2Cd2 | PBE | relaxed

Values from the calculation:
The total energy comes out at -18.7 eV per formula unit. As for the formation energy: 0.173 eV/atom. The value obtained for the energy above the most stable polymorph in this dataset is 0.00 eV/f.u.

Structure (extended XYZ):
```
10
Lattice="8.347 0.000 0.000 0.000 8.347 0.000 0.000 0.000 2.987" Properties=species:S:1:pos:R:3 pbc="T T T"
Li 0.000 0.000 0.000
Li 4.173 4.173 0.000
Ti 0.891 3.283 0.000
Ti 3.283 7.456 0.000
Ti 5.064 0.891 0.000
Ti 7.456 5.064 0.000
Cd 1.557 5.731 1.494
Cd 2.616 1.557 1.494
Cd 5.731 6.790 1.494
Cd 6.790 2.616 1.494
```



LiTi3Cd | PBE | relaxed

Values from the calculation:
The total energy comes out at -20.2 eV per formula unit. As for the formation energy: 1.254 eV/atom. The value obtained for the energy above the most stable polymorph in this dataset is 2.47 eV/f.u.

Structure (extended XYZ):
```
5
Lattice="5.113 0.000 0.000 0.000 5.113 0.000 0.000 0.000 5.113" Properties=species:S:1:pos:R:3 pbc="T T T"
Li 0.000 0.000 0.000
Ti 0.000 2.557 2.557
Ti 2.557 0.000 2.557
Ti 2.557 2.557 0.000
Cd 2.557 2.557 2.557
```



Li2TiCd | PBE | relaxed

Values from the calculation:
The total energy comes out at -11.1 eV per formula unit. As for the formation energy: 0.393 eV/atom.

Structure (extended XYZ):
```
8
Lattice="-3.680 3.680 2.859 3.680 -3.680 2.859 3.680 3.680 -2.859" Properties=species:S:1:pos:R:3 pbc="T T T"
Li 5.519 1.732 -0.715
Li 1.732 1.840 0.715
Li -1.840 1.948 2.144
Li 1.948 1.840 3.574
Ti 3.680 0.000 1.430
Ti 0.000 0.000 2.859
Cd 0.000 0.000 0.000
Cd 0.000 3.680 1.430
```



Li3TiCd | PBE | relaxed

Values from the calculation:
The total energy comes out at -11.2 eV per formula unit. As for the formation energy: 0.679 eV/atom. The value obtained for the energy above the most stable polymorph in this dataset is 0.00 eV/f.u.

Structure (extended XYZ):
```
5
Lattice="4.745 0.000 0.000 0.000 4.745 0.000 0.000 0.000 4.745" Properties=species:S:1:pos:R:3 pbc="T T T"
Li 0.000 0.000 2.373
Li 0.000 2.373 0.000
Li 2.373 0.000 0.000
Ti 2.373 2.373 2.373
Cd 0.000 0.000 0.000
```



LiTiCd2 | PBE | relaxed

Values from the calculation:
The total energy comes out at -10.8 eV per formula unit. As for the formation energy: 0.201 eV/atom. The value obtained for the energy above the most stable polymorph in this dataset is 1.17 eV/f.u.

Structure (extended XYZ):
```
4
Lattice="1.458 0.842 10.779 -1.458 0.842 10.779 0.000 -1.684 10.779" Properties=species:S:1:pos:R:3 pbc="T T T"
Li 0.000 0.000 0.000
Ti 0.000 0.000 16.169
Cd 0.000 0.000 13.213
Cd 0.000 0.000 19.125
```



LiTiCd2 | PBE | relaxed

Values from the calculation:
The total energy comes out at -12.0 eV per formula unit. As for the formation energy: -0.091 eV/atom. The value obtained for the energy above the most stable polymorph in this dataset is 0.00 eV/f.u.

Structure (extended XYZ):
```
4
Lattice="3.020 0.000 0.000 0.000 3.020 0.000 0.000 0.000 8.111" Properties=species:S:1:pos:R:3 pbc="T T T"
Li 0.000 0.000 0.000
Ti 0.000 0.000 4.055
Cd 1.510 1.510 1.946
Cd 1.510 1.510 6.165
```



LiTlCd2 | PBE | relaxed

Values from the calculation:
The total energy comes out at -6.5 eV per formula unit. As for the formation energy: -0.098 eV/atom.

Structure (extended XYZ):
```
4
Lattice="-2.233 2.233 4.561 2.233 -2.233 4.561 2.233 2.233 -4.561" Properties=species:S:1:pos:R:3 pbc="T T T"
Li 0.000 0.000 0.000
Tl 0.000 0.000 4.561
Cd 2.233 0.000 2.281
Cd 0.000 2.233 2.281
```



Li2Tl2Cd | PBE | relaxed

Values from the calculation:
The total energy comes out at -10.2 eV per formula unit. As for the formation energy: -0.140 eV/atom. The value obtained for the energy above the most stable polymorph in this dataset is 0.15 eV/f.u.

Structure (extended XYZ):
```
10
Lattice="7.677 0.000 0.000 0.000 7.677 0.000 0.000 0.000 3.736" Properties=species:S:1:pos:R:3 pbc="T T T"
Li 1.070 2.769 0.000
Li 2.769 6.607 0.000
Li 4.909 1.070 0.000
Li 6.607 4.909 0.000
Tl 1.233 5.072 1.868
Tl 2.605 1.233 1.868
Tl 5.072 6.444 1.868
Tl 6.444 2.605 1.868
Cd 0.000 0.000 0.000
Cd 3.839 3.839 0.000
```



Li7Tl2Cd2 | PBE | relaxed

Values from the calculation:
The total energy comes out at -22.0 eV per formula unit. As for the formation energy: -0.187 eV/atom. The value obtained for the energy above the most stable polymorph in this dataset is 0.00 eV/f.u.

Structure (extended XYZ):
```
11
Lattice="3.797 -4.039 0.000 3.797 4.039 0.000 -1.447 0.000 7.284" Properties=species:S:1:pos:R:3 pbc="T T T"
Li 0.000 0.000 0.000
Li 0.989 1.541 5.861
Li 0.614 0.000 3.008
Li 0.989 -1.541 5.861
Li 5.159 1.541 1.423
Li 5.534 0.000 4.276
Li 5.159 -1.541 1.423
Tl 3.074 1.604 3.642
Tl 3.074 -1.604 3.642
Cd 2.701 0.000 0.973
Cd 3.447 0.000 6.311
```



Li5Tl2Cd2 | PBE | relaxed

Values from the calculation:
The total energy comes out at -17.4 eV per formula unit. As for the formation energy: -0.136 eV/atom. The value obtained for the energy above the most stable polymorph in this dataset is 0.83 eV/f.u.

Structure (extended XYZ):
```
18
Lattice="7.152 -3.868 0.000 7.152 3.868 0.000 0.000 0.000 6.812" Properties=species:S:1:pos:R:3 pbc="T T T"
Li 0.000 0.000 0.000
Li 5.196 2.497 4.562
Li 5.196 1.371 1.156
Li 9.109 2.497 4.562
Li 9.109 1.371 1.156
Li 7.152 0.000 3.406
Li 5.196 -1.371 5.656
Li 5.196 -2.497 2.250
Li 9.109 -1.371 5.656
Li 9.109 -2.497 2.250
Tl 3.000 0.000 0.000
Tl 4.153 0.000 3.406
Tl 10.152 0.000 3.406
Tl 11.305 0.000 0.000
Cd 7.152 2.732 2.526
Cd 7.152 1.135 5.932
Cd 7.152 -1.135 0.880
Cd 7.152 -2.732 4.286
```



LiTlCd2 | PBE | relaxed

Values from the calculation:
The total energy comes out at -6.6 eV per formula unit. As for the formation energy: -0.122 eV/atom.

Structure (extended XYZ):
```
8
Lattice="6.193 0.000 0.000 0.000 5.128 0.000 -2.943 0.000 5.671" Properties=species:S:1:pos:R:3 pbc="T T T"
Li 0.026 1.282 1.888
Li 3.224 3.846 3.783
Tl 0.123 3.846 3.716
Tl 3.127 1.282 1.955
Cd -1.457 1.282 4.782
Cd 1.516 3.846 0.879
Cd 1.734 1.282 4.792
Cd 4.707 3.846 0.889
```



LiTlCd2 | PBE | relaxed

Values from the calculation:
The total energy comes out at -6.3 eV per formula unit. As for the formation energy: -0.055 eV/atom.

Structure (extended XYZ):
```
4
Lattice="1.642 0.948 9.842 -1.642 0.948 9.842 0.000 -1.896 9.842" Properties=species:S:1:pos:R:3 pbc="T T T"
Li 0.000 0.000 0.000
Tl 0.000 0.000 22.005
Cd 0.000 0.000 7.597
Cd 0.000 0.000 14.784
```



LiTl17Cd11 | PBE | relaxed

Values from the calculation:
The total energy comes out at -52.0 eV per formula unit. As for the formation energy: 0.009 eV/atom.

Structure (extended XYZ):
```
29
Lattice="5.861 -8.268 0.000 5.861 8.268 0.000 -5.796 0.000 8.264" Properties=species:S:1:pos:R:3 pbc="T T T"
Li 0.000 0.000 0.000
Tl 1.204 2.856 1.507
Tl -0.957 2.677 4.873
Tl 3.774 5.969 1.535
Tl 1.588 4.973 4.102
Tl 3.228 0.000 1.465
Tl 1.204 -2.856 1.507
Tl -0.957 -2.677 4.873
Tl 1.701 3.309 7.179
Tl -0.360 0.000 6.805
Tl 5.059 2.553 6.555
Tl 1.588 -4.973 4.102
Tl 2.948 0.000 7.432
Tl 5.318 0.000 4.385
Tl 3.774 -5.969 1.535
Tl 1.701 -3.309 7.179
Tl 8.681 0.000 3.932
Tl 5.059 -2.553 6.555
Cd -3.602 1.512 6.808
Cd 0.058 0.000 2.970
Cd -1.449 3.050 8.246
Cd -3.602 -1.512 6.808
Cd 4.301 3.014 3.050
Cd 2.206 1.539 4.568
Cd -1.449 -3.050 8.246
Cd 6.499 1.485 1.500
Cd 2.206 -1.539 4.568
Cd 4.301 -3.014 3.050
Cd 6.499 -1.485 1.500
```